## Mg2NbTeAu (SCAN)

Data for a crystal of Mg2NbTeAu relaxed with PBEsol.

Computed properties:
The calculated volume is 26.39 Å³ per atom. The value obtained for the total moment is 0.00 μB/cell. The value obtained for the density of states at the Fermi level is 3.621 states/eV/f.u. The calculation puts the raw formation energy at 4.4 eV/f.u.

Cell: 5.069 5.102 5.102 Å, 90.00 90.00 90.00°
Atoms (fractional coordinates):
Mg 0.000 0.500 0.000
Nb 0.500 0.000 0.000
Au 0.500 0.500 0.500
Te 0.000 0.000 0.000
Mg 0.000 0.000 0.500



## NiTe2As (SCAN)

Data for a crystal of NiTe2As relaxed with PBEsol.

Computed properties:
The calculated volume is 21.36 Å³ per atom. The value obtained for the total moment is 0.00 μB/cell. The value obtained for the density of states at the Fermi level is 1.697 states/eV/f.u. The calculation puts the raw formation energy at 0.5 eV/f.u.

Cell: 3.064 3.064 9.100 Å, 90.00 90.00 90.00°
Atoms (fractional coordinates):
As 0.000 0.000 0.583
Te 0.500 0.500 0.279
Te 0.000 0.000 0.920
Ni 0.500 0.500 0.717



## Ce2Al3Ge4 (SCAN)

Data for a crystal of Ce2Al3Ge4 relaxed with PBEsol.

Computed properties:
The calculated volume is 19.10 Å³ per atom. Its calculated formation energy is -0.510 eV per atom. The value obtained for the total moment is 4.47 μB/cell. The value obtained for the density of states at the Fermi level is 8.305 states/eV/f.u.

Cell: 5.874 7.870 7.994 Å, 90.00 111.56 90.00°
Site moments in Bohr magnetons follow the coordinates.
Atoms (fractional coordinates):
Ge 0.796 0.750 0.092  -0.03
Al 0.535 0.250 0.569  0.01
Al 0.035 0.250 0.569  0.01
Al 0.500 0.500 0.000  0.01
Al 0.465 0.750 0.431  0.01
Al 0.965 0.750 0.431  0.01
Ce 0.614 0.080 0.228  0.88
Ge 0.204 0.250 0.908  -0.03
Al 0.000 0.000 0.000  0.01
Ge 0.817 0.949 0.634  -0.02
Ge 0.183 0.051 0.366  -0.02
Ge 0.683 0.449 0.366  -0.02
Ge 0.296 0.750 0.092  -0.03
Ce 0.886 0.580 0.772  0.88
Ce 0.114 0.420 0.228  0.88
Ce 0.386 0.920 0.772  0.88
Ge 0.704 0.250 0.908  -0.03
Ge 0.317 0.551 0.634  -0.02



## MoRuNF2 (SCAN)

Data for a crystal of MoRuNF2 relaxed with PBEsol.

Computed properties:
The calculated volume is 13.15 Å³ per atom. The value obtained for the total moment is 4.18 μB/cell. The value obtained for the density of states at the Fermi level is 2.601 states/eV/f.u. The calculation puts the raw formation energy at -0.1 eV/f.u.

Cell: 3.715 4.208 4.208 Å, 90.00 90.00 90.00°
Site moments in Bohr magnetons follow the coordinates.
Atoms (fractional coordinates):
N 0.500 0.000 0.000  -0.11
Mo 0.500 0.500 0.500  4.12
F 0.000 0.500 0.000  0.06
F 0.000 0.000 0.500  0.06
Ru 0.000 0.000 0.000  -0.32



## La2ZnSiSe (SCAN)

Data for a crystal of La2ZnSiSe relaxed with PBEsol.

Computed properties:
The calculated volume is 28.67 Å³ per atom. The value obtained for the total moment is 0.00 μB/cell. The value obtained for the density of states at the Fermi level is 2.603 states/eV/f.u. The calculation puts the raw formation energy at -1.9 eV/f.u.

Cell: 4.612 5.575 5.575 Å, 90.00 90.00 90.00°
Atoms (fractional coordinates):
Zn 0.500 0.000 0.000
La 0.000 0.000 0.500
Si 0.500 0.500 0.500
La 0.000 0.500 0.000
Se 0.000 0.000 0.000



## SiSb2ICl (SCAN)

Data for a crystal of SiSb2ICl relaxed with PBEsol.

Computed properties:
The calculated volume is 30.03 Å³ per atom. The value obtained for the total moment is 0.00 μB/cell. The value obtained for the density of states at the Fermi level is 4.987 states/eV/f.u. The calculation puts the raw formation energy at 6.2 eV/f.u.

Cell: 5.415 5.266 5.266 Å, 90.00 90.00 90.00°
Atoms (fractional coordinates):
Cl 0.000 0.000 0.000
Si 0.500 0.500 0.500
Sb 0.000 0.000 0.500
Sb 0.000 0.500 0.000
I 0.500 0.000 0.000



## Hg2SbOs (SCAN)

Data for a crystal of Hg2SbOs relaxed with PBEsol.

Computed properties:
The calculated volume is 19.61 Å³ per atom. The value obtained for the total moment is 0.00 μB/cell. The value obtained for the density of states at the Fermi level is 3.218 states/eV/f.u. The calculation puts the raw formation energy at 4.4 eV/f.u.

Cell: 3.404 4.800 4.800 Å, 90.00 90.00 90.00°
Atoms (fractional coordinates):
Sb 0.500 0.000 0.000
Hg 0.000 0.500 0.000
Os 0.500 0.500 0.500
Hg 0.000 0.000 0.500



## LiAg4Pb (SCAN)

Data for a crystal of LiAg4Pb relaxed with PBEsol.

Computed properties:
The calculated volume is 19.43 Å³ per atom. Its calculated formation energy is -0.018 eV per atom. The value obtained for the total moment is 0.00 μB/cell. The value obtained for the density of states at the Fermi level is 2.391 states/eV/f.u.

Cell: 5.484 5.484 5.484 Å, 60.00 60.00 60.00°
Atoms (fractional coordinates):
Li 0.750 0.750 0.750
Ag 0.375 0.375 0.375
Pb 0.000 0.000 0.000
Ag 0.874 0.375 0.375
Ag 0.375 0.375 0.874
Ag 0.375 0.874 0.375